! Sr3Eu | Alexandria | meta-GGA SCAN | single point on PBEsol structure; values from VASP
&SYSTEM
  ibrav = 0, nat = 4, ntyp = 2
/
ATOMIC_SPECIES
Sr 87.62 Sr.upf
Eu 151.96 Eu.upf
CELL_PARAMETERS angstrom
0.000 4.586 4.586
4.586 0.000 4.586
4.586 4.586 0.000
ATOMIC_POSITIONS crystal
Sr 0.000 0.000 0.000
Sr 0.250 0.250 0.250
Sr 0.750 0.750 0.750
Eu 0.500 0.500 0.500
! **DFT formation energy**: 51 meV per atom
! **Offset from the most stable computed form**: 5 meV per atom
! **Theoretical density**: 3.57 Mg/m³
! **SG**: Fm-3m, No. 225
! **Size of the total moment**: 8.1 μB/f.u.
! **Calculated total energy**: -1.106 Ha/atom



! Hf2BeInRh | Alexandria | meta-GGA SCAN | single point on PBEsol structure; values from VASP
&SYSTEM
  ibrav = 0, nat = 5, ntyp = 4
/
ATOMIC_SPECIES
Hf 178.49 Hf.upf
Be 9.01 Be.upf
In 114.82 In.upf
Rh 102.91 Rh.upf
CELL_PARAMETERS angstrom
4.905 0.000 0.000
0.000 4.905 0.000
0.000 0.000 4.245
ATOMIC_POSITIONS crystal
Hf 0.000 0.500 0.000
Hf 0.500 0.000 0.000
Be 0.000 0.000 0.500
In 0.500 0.500 0.500
Rh 0.000 0.000 0.000
! **DFT formation energy**: 43 meV per atom
! **Theoretical density**: 9.49 Mg/m³
! **SG**: P4/mmm, No. 123
! **Size of the total moment**: 0.0 μB/f.u.
! **Calculated total energy**: -1.445 Ha/atom



! BaSrAg2 | Alexandria | meta-GGA SCAN | single point on PBEsol structure; values from VASP
&SYSTEM
  ibrav = 0, nat = 4, ntyp = 3
/
ATOMIC_SPECIES
Ba 137.33 Ba.upf
Sr 87.62 Sr.upf
Ag 107.87 Ag.upf
CELL_PARAMETERS angstrom
0.000 3.929 3.929
3.929 0.000 3.929
3.929 3.929 0.000
ATOMIC_POSITIONS crystal
Ba 0.000 0.000 0.000
Sr 0.500 0.500 0.500
Ag 0.250 0.250 0.250
Ag 0.750 0.750 0.750
! **DFT formation energy**: -239 meV per atom
! **Offset from the most stable computed form**: 52 meV per atom
! **Theoretical density**: 6.03 Mg/m³
! **SG**: Fm-3m, No. 225
! **Size of the total moment**: 0.0 μB/f.u.
! **Calculated total energy**: -1.153 Ha/atom



! TbB3O6 | Alexandria | meta-GGA SCAN | single point on PBEsol structure; values from VASP
&SYSTEM
  ibrav = 0, nat = 40, ntyp = 3
/
ATOMIC_SPECIES
Tb 158.93 Tb.upf
B 10.81 B.upf
O 16.00 O.upf
CELL_PARAMETERS angstrom
8.271 0.000 0.000
0.000 6.046 0.000
0.000 0.000 7.758
ATOMIC_POSITIONS crystal
Tb 0.000 0.009 0.250
Tb 0.000 0.991 0.750
Tb 0.500 0.491 0.750
Tb 0.500 0.509 0.250
B 0.000 0.488 0.750
B 0.000 0.512 0.250
B 0.185 0.381 0.506
B 0.185 0.619 0.006
B 0.315 0.119 0.006
B 0.315 0.881 0.506
B 0.500 0.012 0.250
B 0.500 0.988 0.750
B 0.685 0.119 0.494
B 0.685 0.881 0.994
B 0.815 0.381 0.994
B 0.815 0.619 0.494
O 0.081 0.357 0.366
O 0.081 0.643 0.866
O 0.117 0.337 0.669
O 0.117 0.663 0.169
O 0.160 0.060 0.993
O 0.160 0.940 0.493
O 0.340 0.440 0.493
O 0.340 0.560 0.993
O 0.383 0.163 0.169
O 0.383 0.837 0.669
O 0.419 0.143 0.866
O 0.419 0.857 0.366
O 0.581 0.143 0.634
O 0.581 0.857 0.134
O 0.617 0.163 0.331
O 0.617 0.837 0.831
O 0.660 0.440 0.007
O 0.660 0.560 0.507
O 0.840 0.060 0.507
O 0.840 0.940 0.007
O 0.883 0.337 0.831
O 0.883 0.663 0.331
O 0.919 0.357 0.134
O 0.919 0.643 0.634
! **Theoretical density**: 4.92 Mg/m³
! **Formation energy (no corrections)**: -3009.6 meV per atom
! **SG**: Pbcn, No. 60
! **Size of the total moment**: 0.0 μB/f.u.
! **Calculated total energy**: -0.502 Ha/atom



! TiNbMo2 | Alexandria | meta-GGA SCAN | single point on PBEsol structure; values from VASP
&SYSTEM
  ibrav = 0, nat = 4, ntyp = 3
/
ATOMIC_SPECIES
Ti 47.87 Ti.upf
Nb 92.91 Nb.upf
Mo 95.94 Mo.upf
CELL_PARAMETERS angstrom
0.000 3.163 3.163
3.163 0.000 3.163
3.163 3.163 0.000
ATOMIC_POSITIONS crystal
Ti 0.000 0.000 0.000
Nb 0.500 0.500 0.500
Mo 0.250 0.250 0.250
Mo 0.750 0.750 0.750
! **DFT formation energy**: -82 meV per atom
! **Theoretical density**: 8.73 Mg/m³
! **SG**: Fm-3m, No. 225
! **Size of the total moment**: 0.0 μB/f.u.
! **Calculated total energy**: -1.096 Ha/atom



! La2HgSb | Alexandria | meta-GGA SCAN | single point on PBEsol structure; values from VASP
&SYSTEM
  ibrav = 0, nat = 4, ntyp = 3
/
ATOMIC_SPECIES
La 138.91 La.upf
Hg 200.59 Hg.upf
Sb 121.76 Sb.upf
CELL_PARAMETERS angstrom
4.495 0.000 0.000
0.000 2.281 5.899
0.000 -2.281 5.899
ATOMIC_POSITIONS crystal
La 0.000 0.000 0.000
La 0.500 0.275 0.275
Hg 0.000 0.731 0.731
Sb 0.500 0.553 0.553
! **Offset from the most stable computed form**: 0 meV per atom
! **Theoretical density**: 8.24 Mg/m³
! **Formation energy (no corrections)**: -994.2 meV per atom
! **SG**: Amm2, No. 38
! **Size of the total moment**: 0.9 μB/f.u.
! **Calculated total energy**: -1.797 Ha/atom



! ZrBeNi2 | Alexandria | meta-GGA SCAN | single point on PBEsol structure; values from VASP
&SYSTEM
  ibrav = 0, nat = 4, ntyp = 3
/
ATOMIC_SPECIES
Zr 91.22 Zr.upf
Be 9.01 Be.upf
Ni 58.69 Ni.upf
CELL_PARAMETERS angstrom
2.942 0.000 0.000
0.000 2.942 0.000
0.000 0.000 5.779
ATOMIC_POSITIONS crystal
Zr 0.000 0.000 0.000
Be 0.500 0.500 0.330
Ni 0.000 0.000 0.473
Ni 0.500 0.500 0.714
! **DFT formation energy**: -175 meV per atom
! **Offset from the most stable computed form**: 171 meV per atom
! **Theoretical density**: 7.23 Mg/m³
! **SG**: P4mm, No. 99
! **Size of the total moment**: 0.0 μB/f.u.
! **Calculated total energy**: -0.626 Ha/atom



! EuIn2Ni | Alexandria | meta-GGA SCAN | single point on PBEsol structure; values from VASP
&SYSTEM
  ibrav = 0, nat = 8, ntyp = 3
/
ATOMIC_SPECIES
Eu 151.96 Eu.upf
In 114.82 In.upf
Ni 58.69 Ni.upf
CELL_PARAMETERS angstrom
2.165 -5.170 0.000
2.165 5.170 0.000
0.000 0.000 7.580
ATOMIC_POSITIONS crystal
Eu 0.060 0.940 0.750
Eu 0.940 0.060 0.250
In 0.350 0.650 0.553
In 0.350 0.650 0.947
In 0.650 0.350 0.053
In 0.650 0.350 0.447
Ni 0.219 0.781 0.250
Ni 0.781 0.219 0.750
! **DFT formation energy**: -450 meV per atom
! **Theoretical density**: 8.62 Mg/m³
! **SG**: Cmcm, No. 63
! **Size of the total moment**: 7.1 μB/f.u.
! **Calculated total energy**: -1.272 Ha/atom



! LiAg2 | Alexandria | meta-GGA SCAN | single point on PBEsol structure; values from VASP
&SYSTEM
  ibrav = 0, nat = 24, ntyp = 2
/
ATOMIC_SPECIES
Li 6.94 Li.upf
Ag 107.87 Ag.upf
CELL_PARAMETERS angstrom
5.411 0.000 0.000
-2.705 4.686 0.000
0.000 0.000 17.675
ATOMIC_POSITIONS crystal
Li 0.000 0.000 0.096
Li 0.000 0.000 0.404
Li 0.000 0.000 0.596
Li 0.000 0.000 0.904
Li 0.333 0.667 0.156
Li 0.333 0.667 0.344
Li 0.667 0.333 0.656
Li 0.667 0.333 0.844
Ag 0.000 0.500 0.000
Ag 0.000 0.500 0.500
Ag 0.164 0.328 0.750
Ag 0.164 0.836 0.750
Ag 0.328 0.164 0.250
Ag 0.333 0.667 0.625
Ag 0.333 0.667 0.875
Ag 0.500 0.000 0.000
Ag 0.500 0.000 0.500
Ag 0.500 0.500 0.000
Ag 0.500 0.500 0.500
Ag 0.667 0.333 0.125
Ag 0.667 0.333 0.375
Ag 0.672 0.836 0.750
Ag 0.836 0.164 0.250
Ag 0.836 0.672 0.250
! **DFT formation energy**: -63 meV per atom
! **Offset from the most stable computed form**: 93 meV per atom
! **Theoretical density**: 6.60 Mg/m³
! **SG**: P6_3/mmc, No. 194
! **Size of the total moment**: 0.0 μB/f.u.
! **Calculated total energy**: -0.800 Ha/atom



! AgH3I | Alexandria | meta-GGA SCAN | single point on PBEsol structure; values from VASP
&SYSTEM
  ibrav = 0, nat = 5, ntyp = 3
/
ATOMIC_SPECIES
Ag 107.87 Ag.upf
H 1.01 H.upf
I 126.90 I.upf
CELL_PARAMETERS angstrom
3.903 0.000 0.000
0.000 3.903 0.000
0.000 0.000 3.903
ATOMIC_POSITIONS crystal
Ag 0.000 0.000 0.000
H 0.000 0.000 0.500
H 0.000 0.500 0.000
H 0.500 0.000 0.000
I 0.500 0.500 0.500
! **Offset from the most stable computed form**: 0 meV per atom
! **Theoretical density**: 6.64 Mg/m³
! **SG**: Pm-3m, No. 221
! **Size of the total moment**: 0.8 μB/f.u.
! **Calculated total energy**: -0.543 Ha/atom